The following is a SCAN calculation of KMg2P2H31O23 at its PBEsol-relaxed geometry, from Alexandria via LeMat-Bulk.

abc: 6.3552 6.3407 12.6405
angles: 85.09 82.36 86.76
With the nearest neighbours (Å) after each atom.
Element x y z (fractional)
H (0.5905, 0.5525, 0.6434)  1 O 1.01
O (0.1721, 0.5696, 0.9281)  2 H 0.98-1.00
H (0.2294, 0.9810, 0.3237)  1 O 1.01
O (0.8976, 0.7883, 0.4584)  2 H 1.00-1.01
O (0.2976, 0.0068, 0.8395)  1 P 1.51
P (0.8825, 0.9646, 0.1947)  4 O 1.53-1.60
O (0.9027, 0.9795, 0.9043)  1 H 1.45, 1 P 1.58
H (0.5100, 0.0849, 0.1114)  1 O 1.01
H (0.7886, 0.3331, 0.8167)  1 O 1.01
O (0.6488, 0.0414, 0.2106)  2 H 1.53-1.62, 1 P 1.53
O (0.7650, 0.4715, 0.0704)  2 H 0.98-1.00
Mg (0.5614, 0.0215, 0.9046)  5 O 1.97-2.17
H (0.1831, 0.7000, 0.1577)  1 O 0.99
H (0.1289, 0.1098, 0.5965)  1 O 1.01
O (0.3605, 0.6003, 0.4620)  2 H 1.00-1.04
O (0.3378, 0.7085, 0.1589)  2 H 0.99
H (0.5925, 0.4579, 0.5015)  1 O 1.00
H (0.1264, 0.4624, 0.8829)  1 O 1.00
Mg (0.0198, 0.4914, 0.4908)  5 O 2.02-2.18, 1 H 2.25
O (0.0010, 0.0433, 0.2819)  1 P 1.54, 3 H 1.60-1.67
K (0.5247, 0.4274, 0.2685)  3 O 2.51-2.76
P (0.0769, 0.0659, 0.8121)  4 O 1.51-1.58
H (0.5993, 0.8958, 0.6505)  1 O 1.01
O (0.0968, 0.5879, 0.6421)  2 H 1.02-1.04
O (0.7002, 0.0035, 0.6134)  2 H 1.01-1.03
H (0.4029, 0.7206, 0.0830)  1 O 0.99
H (0.0101, 0.2829, 0.3100)  1 O 1.01
H (0.0760, 0.4688, 0.7042)  1 O 1.04
H (0.8192, 0.8767, 0.5158)  1 O 1.01
H (0.0725, 0.6934, 0.9219)  1 O 0.98
O (0.5158, 0.6480, 0.6975)  2 H 0.99-1.01
H (0.8221, 0.9995, 0.6592)  1 O 1.03
H (0.5567, 0.4299, 0.7962)  1 O 0.99
H (0.4844, 0.9856, 0.3073)  1 O 1.03
O (0.9104, 0.7222, 0.1933)  1 P 1.54, 2 H 1.62-1.63
H (0.2431, 0.1184, 0.4719)  1 O 1.00
H (0.3624, 0.6380, 0.6940)  1 O 0.99
H (0.2838, 0.1022, 0.0661)  1 O 0.99
O (0.0394, 0.3119, 0.7982)  3 H 1.48-1.66, 1 P 1.56
H (0.0575, 0.7309, 0.6725)  1 O 1.02
H (0.6787, 0.2453, 0.5720)  1 O 1.03
H (0.4042, 0.6410, 0.9331)  1 O 1.02
O (0.5366, 0.7091, 0.9497)  2 H 1.02
O (0.1624, 0.2037, 0.5281)  2 H 1.00-1.01
H (0.3128, 0.6206, 0.5389)  1 O 1.00
H (0.8401, 0.5763, 0.1054)  1 O 1.00
O (0.0248, 0.4277, 0.3362)  2 H 1.01
O (0.3552, 0.9719, 0.3657)  2 H 1.01-1.03
O (0.9918, 0.0703, 0.0828)  1 H 1.07
O (0.0368, 0.9724, 0.7064)  3 H 1.56-1.63, 1 P 1.56
H (0.8670, 0.3508, 0.0573)  1 O 0.98
H (0.3652, 0.7523, 0.4234)  1 O 1.04
H (0.9307, 0.8860, 0.3922)  1 O 1.00
H (0.9511, 0.0208, 0.0092)  1 O 1.07
O (0.7056, 0.4002, 0.5455)  2 H 1.00-1.03
H (0.9835, 0.5426, 0.2814)  1 O 1.01
O (0.4365, 0.1294, 0.0465)  2 H 0.99-1.01
H (0.6344, 0.5990, 0.9839)  1 O 1.02
O (0.6323, 0.3028, 0.8266)  2 H 0.99-1.01

DFT total energy	-372.2	eV per formula unit
density of states at the Fermi level	0.0	states/eV per cell

***

The following is a SCAN calculation of K2MgP4H8O16 at its PBEsol-relaxed geometry, from Alexandria via LeMat-Bulk.

abc: 6.8579 7.3999 7.5222
angles: 80.50 73.71 83.22
With the nearest neighbours (Å) after each atom.
Element x y z (fractional)
O (0.0619, 0.2068, 0.7704)  2 H 1.00
O (0.7327, 0.8416, 0.5786)  1 H 1.36, 1 P 1.52
H (0.7434, 0.5517, 0.9878)  1 O 1.09
K (0.3677, 0.7496, 0.2100)  6 O 2.74-2.94, 1 H 3.01
O (0.9381, 0.7932, 0.2296)  2 H 1.00
O (0.7513, 0.5162, 0.1700)  1 H 1.37
H (0.8651, 0.8206, 0.3587)  1 O 1.00
O (0.2673, 0.1584, 0.4214)  1 H 1.36, 1 P 1.52
H (0.1349, 0.1794, 0.6413)  1 O 1.00
H (0.1242, 0.3159, 0.7881)  1 O 1.00
O (0.9408, 0.2775, 0.3538)  2 P 1.62
K (0.6323, 0.2504, 0.7900)  6 O 2.74-2.94, 1 H 3.01
O (0.5728, 0.2864, 0.4393)  1 H 1.08
H (0.5587, 0.7724, 0.5744)  1 O 1.08
O (0.7675, 0.1807, 0.1250)  1 P 1.50
P (0.2483, 0.6857, 0.7400)  4 O 1.50-1.62
P (0.7517, 0.3143, 0.2600)  4 O 1.50-1.62
O (0.2325, 0.8193, 0.8750)  1 P 1.50
O (0.2718, 0.4125, 0.1542)  1 H 1.09
O (0.1976, 0.0944, 0.1202)  1 P 1.51
O (0.7282, 0.5875, 0.8458)  1 H 1.09
O (0.4272, 0.7136, 0.5607)  1 H 1.08
O (0.2487, 0.4838, 0.8300)  1 H 1.37
P (0.1792, 0.2279, 0.2562)  4 O 1.51-1.62
Mg (0.0000, 0.0000, 0.0000)  6 O 2.06-2.09
O (0.8024, 0.9056, 0.8798)  1 P 1.51
H (0.2566, 0.4483, 0.0122)  1 O 1.09
P (0.8208, 0.7721, 0.7438)  4 O 1.51-1.62
O (0.0592, 0.7225, 0.6462)  2 P 1.62
H (0.8758, 0.6841, 0.2119)  1 O 1.00
H (0.4413, 0.2276, 0.4256)  1 O 1.08

DFT total energy	-253.3	eV per formula unit
density of states at the Fermi level	0.0	states/eV per cell

***

The following is a SCAN calculation of KMgPH12O10 at its PBEsol-relaxed geometry, from Alexandria via LeMat-Bulk.

abc: 6.0699 6.8504 11.0666
angles: 90.00 90.00 90.00
With the nearest neighbours (Å) after each atom.
Element x y z (fractional)
O (0.9601, 0.0000, 0.2812)  2 H 1.02
H (0.8245, 0.5000, 0.8866)  1 O 1.00
H (0.2737, 0.0000, 0.5226)  1 O 1.01
O (0.7329, 0.7698, 0.4648)  2 H 1.01
H (0.8373, 0.3269, 0.4255)  1 O 1.01
O (0.5369, 0.2050, 0.2278)  2 H 1.01-1.02
O (0.9887, 0.5000, 0.3682)  1 P 1.54, 2 H 1.63
H (0.2066, 0.2939, 0.0488)  1 O 1.01
H (0.7934, 0.2061, 0.5488)  1 O 1.01
O (0.2671, 0.2698, 0.9648)  2 H 1.01
O (0.7329, 0.2302, 0.4648)  2 H 1.01
K (0.6158, 0.0000, 0.0056)  5 O 2.84-2.87, 4 H 3.12-3.15
O (0.8680, 0.8135, 0.6866)  1 P 1.55, 3 H 1.59-1.60
O (0.4631, 0.2950, 0.7278)  2 H 1.01-1.02
H (0.3796, 0.2506, 0.2193)  1 O 1.01
O (0.4631, 0.7050, 0.7278)  2 H 1.01-1.02
O (0.0399, 0.5000, 0.7812)  2 H 1.02
O (0.8680, 0.1865, 0.6866)  1 P 1.55, 3 H 1.59-1.60
H (0.1627, 0.1731, 0.9255)  1 O 1.01
P (0.0090, 0.5000, 0.2291)  4 O 1.54-1.56
H (0.1627, 0.8269, 0.9255)  1 O 1.01
H (0.3796, 0.7494, 0.2193)  1 O 1.01
H (0.8373, 0.6731, 0.4255)  1 O 1.01
O (0.2671, 0.7302, 0.9648)  2 H 1.01
H (0.6322, 0.6772, 0.2077)  1 O 1.02
O (0.7765, 0.5000, 0.1693)  3 H 1.56-1.65, 1 P 1.56
H (0.3678, 0.8228, 0.7077)  1 O 1.02
O (0.5369, 0.7950, 0.2278)  2 H 1.01-1.02
H (0.9801, 0.3797, 0.7382)  1 O 1.02
H (0.0199, 0.8797, 0.2382)  1 O 1.02
H (0.7934, 0.7939, 0.5488)  1 O 1.01
O (0.0113, 0.0000, 0.8682)  1 P 1.54, 2 H 1.63
H (0.6204, 0.7506, 0.7193)  1 O 1.01
O (0.3155, 0.0000, 0.4345)  2 H 1.00-1.01
H (0.7263, 0.5000, 0.0226)  1 O 1.01
O (0.2235, 0.0000, 0.6693)  3 H 1.56-1.65, 1 P 1.56
O (0.1320, 0.6865, 0.1866)  1 P 1.55, 3 H 1.59-1.60
O (0.1320, 0.3135, 0.1866)  1 P 1.55, 3 H 1.59-1.60
K (0.3842, 0.5000, 0.5056)  5 O 2.84-2.87, 4 H 3.12-3.15
H (0.9801, 0.6203, 0.7382)  1 O 1.02
Mg (0.3692, 0.5000, 0.8551)  6 O 2.07-2.16
H (0.2066, 0.7061, 0.0488)  1 O 1.01
H (0.6322, 0.3228, 0.2077)  1 O 1.02
H (0.1755, 0.0000, 0.3866)  1 O 1.00
O (0.6845, 0.5000, 0.9345)  2 H 1.00-1.01
H (0.6204, 0.2494, 0.7193)  1 O 1.01
Mg (0.6308, 0.0000, 0.3551)  6 O 2.07-2.16
P (0.9910, 0.0000, 0.7291)  4 O 1.54-1.56
H (0.3678, 0.1772, 0.7077)  1 O 1.02
H (0.0199, 0.1203, 0.2382)  1 O 1.02

DFT total energy	-166.3	eV per formula unit
density of states at the Fermi level	0.0	states/eV per cell

***

The following is a SCAN calculation of K4Mg2H16S4O23 at its PBEsol-relaxed geometry, from Alexandria via LeMat-Bulk.

abc: 7.0838 7.7435 10.2498
angles: 88.70 82.98 80.43
With the nearest neighbours (Å) after each atom.
Element x y z (fractional)
O (0.7924, 0.5292, 0.1064)  1 S 1.50
O (0.8363, 0.8020, 0.9936)  1 S 1.48
H (0.3158, 0.7954, 0.4079)  1 O 0.99
O (0.6103, 0.2634, 0.6044)  2 H 0.99-1.00
H (0.1716, 0.6571, 0.5928)  1 O 1.04
K (0.3938, 0.9453, 0.7066)  6 O 2.66-2.90, 2 H 2.79-2.96
O (0.9810, 0.9865, 0.7802)  2 H 0.99-1.04
O (0.7627, 0.7982, 0.6957)  1 H 1.49, 1 S 1.56
O (0.3005, 0.6172, 0.6315)  2 H 0.99-1.04
O (0.2639, 0.8053, 0.9462)  2 H 1.00
H (0.0540, 0.0828, 0.2364)  1 O 1.00
O (0.7988, 0.7893, 0.2326)  1 S 1.49, 1 H 1.63
H (0.7533, 0.2448, 0.5938)  1 O 0.99
H (0.5683, 0.2681, 0.7016)  1 O 1.00
S (0.1530, 0.2019, 0.4695)  4 O 1.47-1.50
O (0.3189, 0.3397, 0.0748)  1 S 1.46
Mg (0.5005, 0.4826, 0.4915)  6 O 2.02-2.16
O (0.6734, 0.3601, 0.3271)  2 H 1.00-1.01
H (0.8922, 0.9083, 0.7458)  1 O 1.04
O (0.0255, 0.2300, 0.5965)  1 S 1.49
S (0.3074, 0.3213, 0.9342)  4 O 1.46-1.51
H (0.2463, 0.6829, 0.9271)  1 O 1.00
K (0.8657, 0.4824, 0.7923)  4 O 2.64-2.91
O (0.7778, 0.1967, 0.0166)  2 H 0.99-1.01
Mg (0.0194, 0.0002, 0.9712)  6 O 2.02-2.16
O (0.5254, 0.7743, 0.1192)  1 S 1.50
O (0.2170, 0.4899, 0.8767)  1 S 1.50, 1 H 1.65
O (0.1927, 0.1851, 0.9079)  1 S 1.48
O (0.3888, 0.6858, 0.3663)  2 H 0.99-1.00
O (0.5076, 0.2707, 0.8626)  1 S 1.51, 2 H 1.60-1.65
O (0.0572, 0.9906, 0.1689)  2 H 1.00
S (0.7398, 0.7243, 0.1108)  4 O 1.48-1.50
O (0.2801, 0.3369, 0.4492)  1 S 1.48
H (0.4473, 0.7196, 0.2777)  1 O 1.00
S (0.7925, 0.7608, 0.5452)  3 O 1.53-1.56
H (0.0009, 0.0752, 0.7102)  1 O 0.99
H (0.9622, 0.9151, 0.2079)  1 O 1.00
K (0.5112, 0.1011, 0.2392)  7 O 2.69-2.99
O (0.2728, 0.0266, 0.4641)  1 S 1.47
H (0.2727, 0.5627, 0.7190)  1 O 0.99
H (0.8041, 0.3077, 0.3522)  1 O 1.01
H (0.7039, 0.4340, 0.2484)  1 O 1.00
O (0.0292, 0.2220, 0.3591)  1 S 1.50, 2 H 1.63-1.65
H (0.3619, 0.7953, 0.0093)  1 O 1.00
H (0.7868, 0.3135, 0.0503)  1 O 0.99
K (0.1021, 0.5489, 0.2747)  7 O 2.67-2.98, 2 H 2.94-2.97
O (0.0106, 0.7256, 0.5080)  1 S 1.53, 1 H 1.54
O (0.7293, 0.5804, 0.5399)  1 S 1.54
H (0.6716, 0.2168, 0.9577)  1 O 1.01

DFT total energy	-358.8	eV per formula unit
density of states at the Fermi level	0.0	states/eV per cell

***

The following is a SCAN calculation of KRbMg2H at its PBEsol-relaxed geometry, from Alexandria via LeMat-Bulk.

abc: 4.6635 6.9212 6.9212
angles: 90.00 90.00 90.00
With the nearest neighbours (Å) after each atom.
Element x y z (fractional)
Rb (0.5000, 0.5000, 0.5000)  8 Mg 4.17, 2 Rb 4.66
Mg (0.0000, 0.0000, 0.5000)  2 K 3.46
K (0.0000, 0.0000, 0.0000)  2 H 2.33
Mg (0.0000, 0.5000, 0.0000)  2 K 3.46
H (0.5000, 0.0000, 0.0000)  2 K 2.33

DFT total energy	-39.8	eV per formula unit
density of states at the Fermi level	2.7	states/eV per cell

***

The following is a SCAN calculation of K2MnH2 at its PBEsol-relaxed geometry, from Alexandria via LeMat-Bulk.

abc: 2.9708 8.0629 8.0629
angles: 90.00 90.00 90.00
With the nearest neighbours (Å) after each atom.
Element x y z (fractional)
H (0.5000, 0.3492, 0.1508)  6 K 2.77-2.80, 2 H 2.97
K (0.0000, 0.8562, 0.6438)  6 H 2.77-2.80, 2 K 2.97, 2 Mn 3.10
Mn (0.0000, 0.0000, 0.0000)  2 Mn 2.97, 4 K 3.10
Mn (0.0000, 0.5000, 0.5000)  2 Mn 2.97, 4 K 3.10
H (0.5000, 0.8492, 0.3492)  6 K 2.77-2.80, 2 H 2.97
K (0.0000, 0.6438, 0.1438)  6 H 2.77-2.80, 2 K 2.97, 2 Mn 3.10
K (0.0000, 0.1438, 0.3562)  6 H 2.77-2.80, 2 K 2.97, 2 Mn 3.10
H (0.5000, 0.1508, 0.6508)  6 K 2.77-2.80, 2 H 2.97
H (0.5000, 0.6508, 0.8492)  6 K 2.77-2.80, 2 H 2.97
K (0.0000, 0.3562, 0.8562)  6 H 2.77-2.80, 2 K 2.97, 2 Mn 3.10

DFT total energy	-39.8	eV per formula unit
density of states at the Fermi level	2.0	states/eV per cell

***

The following is a SCAN calculation of K2MnH2 at its PBEsol-relaxed geometry, from Alexandria via LeMat-Bulk.

abc: 4.7798 4.7798 6.4009
angles: 111.92 111.92 90.00
With the nearest neighbours (Å) after each atom.
Element x y z (fractional)
Mn (0.0000, 0.0000, 0.0000)  8 H 3.62, 10 K 3.65-3.82
K (0.6639, 0.6639, 0.3278)  4 H 2.57
H (0.7500, 0.2500, 0.5000)  4 K 2.57
K (0.3361, 0.3361, 0.6722)  4 H 2.57
H (0.2500, 0.7500, 0.5000)  4 K 2.57

DFT total energy	-39.8	eV per formula unit